A plane-wave DFT calculation with PBE was carried out for crystalline Y2ZnHg3 at its relaxed geometry.

Output
* Fermi-level density of states: 26.6 states/eV/cell
* formation energy: -2.514 eV/f.u.
* size of the total moment: 0.000 μB per atom

Cell lengths 7.0203, 9.6095, 16.6549 Å; angles 90.00, 90.00, 90.00 degrees
Last column: nearest neighbours and their distance in Å.
Space group Fmmm (No. 69)
Symmetry-distinct sites (fractional):
Y: 0.2478 0.0000 0.0000 (multiplicity 8)  10 Hg 3.25-3.36, 2 Zn 3.30, 2 Y 3.48-3.54
Y: 0.2500 0.2500 0.2500 (multiplicity 8)  8 Hg 3.24-3.25, 4 Zn 3.28, 2 Y 3.51
Zn: 0.0000 0.0000 0.3327 (multiplicity 8)  3 Hg 2.68
Hg: 0.0000 0.0000 0.1717 (multiplicity 8)  1 Zn 2.68, 2 Hg 2.87
Hg: 0.0000 0.2407 0.4137 (multiplicity 16)  1 Zn 2.68, 2 Hg 2.87-2.88